NbTl3Ge | meta-GGA SCAN | single point on PBEsol structure

## Properties
Magnetic moment: 0.00 μB per cell
Raw total energy: -3.89479 Ry per atom
Energy of formation: 0.8671 eV per atom
Space-group type: Pm-3m

abc: 5.385 5.385 5.385
angles: 90.00 90.00 90.00
Fractional positions:
Nb: 0.000 0.000 0.000
Tl: 0.000 0.000 0.500
Tl: 0.000 0.500 0.000
Tl: 0.500 0.000 0.000
Ge: 0.500 0.500 0.500